NaSrTl | PBE | optimized geometry

Its calculated total energy is -1.851 eV per atom. Its magnetization is 0.12 μB per formula unit.

The space group is F-43m (No. 216) and the conventional cell measures 7.8833, 7.8833 and 7.8833 Å, with angles of 90.00, 90.00 and 90.00 degrees. The asymmetric unit holds Na at (0.0000, 0.0000, 0.0000), Sr at (0.0000, 0.0000, 0.5000) and Tl at (0.2500, 0.2500, 0.2500).

---

Y6Rh7 | PBE | optimized geometry

Its calculated total energy is -7.543 eV per atom. Its magnetization is 0.00 μB per formula unit.

The space group is R-3m (No. 166, hexagonal axes) and the conventional cell measures 5.6771, 5.6771 and 28.5409 Å, with angles of 90.00, 90.00 and 120.00 degrees. The asymmetric unit holds Y at (0.0000, 0.0000, 0.0606), Y at (0.0000, 0.0000, 0.1702), Y at (0.0000, 0.0000, 0.3312), Rh at (0.0000, 0.0000, 0.5000) and Rh at (0.0113, 0.5057, 0.0866).

---

Ca2Cu2Hg | PBE | optimized geometry

Its calculated total energy is -2.620 eV per atom. Its magnetization is 0.00 μB per formula unit.

The space group is I4/mmm (No. 139) and the conventional cell measures 5.6381, 5.6381 and 7.6080 Å, with angles of 90.00, 90.00 and 90.00 degrees. The asymmetric unit holds Ca at (0.0000, 0.5000, 0.2500), Cu at (0.0000, 0.0000, 0.1515) and Hg at (0.0000, 0.0000, 0.5000).

---

NdGdMgSc | PBE | optimized geometry

Its calculated total energy is -6.679 eV per atom. Its magnetization is 7.38 μB per formula unit.

The space group is F-43m (No. 216) and the conventional cell measures 7.7149, 7.7149 and 7.7149 Å, with angles of 90.00, 90.00 and 90.00 degrees. The asymmetric unit holds Nd at (0.0000, 0.0000, 0.0000), Gd at (0.0000, 0.0000, 0.5000), Mg at (0.2500, 0.2500, 0.7500) and Sc at (0.2500, 0.2500, 0.2500).

---

Cd7SnPd4 | PBE | optimized geometry

Its calculated total energy is -2.685 eV per atom. Its magnetization is 0.00 μB per formula unit.

The space group is C2/m (No. 12) and the conventional cell measures 12.6009, 5.0912 and 9.8682 Å, with angles of 90.00, 125.97 and 90.00 degrees. The asymmetric unit holds Cd at (0.0000, 0.0000, 0.0000), Cd at (0.0653, 0.5000, 0.3584), Cd at (0.1634, 0.0000, 0.5939), Cd at (0.2160, 0.5000, 0.8712), Sn at (0.0000, 0.5000, 0.0000), Pd at (0.0715, 0.0000, 0.7810) and Pd at (0.1977, 0.0000, 0.3403).

---

Cr2Tc4W | PBE | optimized geometry

Its calculated total energy is -8.962 eV per atom. Its magnetization is 1.86 μB per formula unit.

The space group is I4/mmm (No. 139) and the conventional cell measures 4.6283, 4.6283 and 12.3583 Å, with angles of 90.00, 90.00 and 90.00 degrees. The asymmetric unit holds Cr at (0.0000, 0.0000, 0.1218), Tc at (0.0000, 0.0000, 0.2981), Tc at (0.0000, 0.5000, 0.0000) and W at (0.0000, 0.0000, 0.5000).

---

Li2AgF5 | PBE | optimized geometry

As for the uncorrected formation energy: -1.97 eV/atom. Its magnetization is 0.00 μB per formula unit.

The space group is C2/c (No. 15) and the conventional cell measures 10.1810, 5.3689 and 8.0296 Å, with angles of 90.00, 113.61 and 90.00 degrees. The asymmetric unit holds Li at (0.1248, 0.0064, 0.2091), Ag at (0.0000, 0.5000, 0.0000), F at (0.0000, 0.2233, 0.7500), F at (0.0848, 0.1846, 0.4589) and F at (0.1867, 0.3482, 0.1629).

---

LaPrTe | PBE | optimized geometry

As for the uncorrected formation energy: -0.84 eV/atom. Its magnetization is 0.00 μB per formula unit.

The space group is C2/m (No. 12) and the conventional cell measures 17.4878, 4.2009 and 11.3871 Å, with angles of 90.00, 93.40 and 90.00 degrees. The asymmetric unit holds La at (0.0305, 0.0000, 0.3565), La at (0.1062, 0.5000, 0.8522), Pr at (0.1941, 0.0000, 0.0824), Pr at (0.2491, 0.0000, 0.6512), Te at (0.0786, 0.5000, 0.1649) and Te at (0.1128, 0.5000, 0.5539).